First-principles (meta-GGA SCAN) data for ZrInSn2Pb at its PBEsol-relaxed geometry, as listed in the Alexandria database.

Values from the calculation:
* ΔH_f (0 K): 4.7 eV per formula unit

a b c (Å): 5.372 5.372 5.506
angles (deg): 90.00 90.00 90.00
Space group P4/mmm (No. 123)
One atom of each set of equivalent atoms:
Zr (0.000, 0.000, 0.000) (multiplicity 1)
In (0.500, 0.500, 0.500) (multiplicity 1)
Sn (0.000, 0.500, 0.500) (multiplicity 2)
Pb (0.500, 0.500, 0.000) (multiplicity 1)

First-principles (meta-GGA SCAN) data for SrIn2Pb at its PBEsol-relaxed geometry, as listed in the Alexandria database.

Values from the calculation:
* ΔH_f (0 K): -1.5 eV per formula unit

a b c (Å): 4.737 4.737 10.049
angles (deg): 90.00 90.00 90.00
Space group I4/mmm (No. 139)
One atom of each set of equivalent atoms:
Sr (0.000, 0.000, 0.000) (multiplicity 2)
In (0.000, 0.500, 0.250) (multiplicity 4)
Pb (0.000, 0.000, 0.500) (multiplicity 2)

Ordered uncorrected energy results: -41.412; -41.593; unit eV/atom.
Ordered spin magnetization results: 1.872; 0.000; unit μB/f.u..